No. 1
{"formula": "ScCuAu4", "functional": "meta-GGA SCAN", "state": "PBEsol geometry", "volume_a3_per_atom": 17.96, "total_magnetization_mub_per_atom": 0.00, "e_form_ev_per_atom": -0.241, "cell": [[-4.5550, -2.7881, 0.0747], [-1.2213, -3.0069, 4.2419], [-3.9735, 1.4629, 3.2555]], "species": ["Au", "Au", "Au", "Au", "Cu", "Sc"], "frac_coords": [[0.3752, 0.3752, 0.3752], [0.3752, 0.3752, 0.8743], [0.8743, 0.3752, 0.3752], [0.3752, 0.8743, 0.3752], [0.7500, 0.7500, 0.7500], [0.0000, 0.0000, 0.0000]]}

No. 2
{"formula": "ScCu2Au", "functional": "meta-GGA SCAN", "state": "PBEsol geometry", "volume_a3_per_atom": 15.57, "total_magnetization_mub_per_atom": 0.00, "e_form_ev_per_atom": -0.147, "cell": [[2.9939, 0.0088, 0.0000], [-0.3853, 4.7070, 0.0000], [-1.3043, -2.3579, 4.4195]], "species": ["Au", "Cu", "Cu", "Sc"], "frac_coords": [[0.0000, 0.5000, 0.0000], [0.0000, 0.0000, 0.5000], [0.5000, 0.5000, 0.5000], [0.5000, 0.0000, 0.0000]]}